No. 1
First-principles (GGA-PBE) data for GeMoSeBr2 after structural relaxation, as listed in Alexandria via LeMat-Bulk.

abc: 5.198 5.198 4.975
angles: 90.00 90.00 90.00
Each line ends with the local moment (μB).
Sites, in units of the cell vectors:
1 Mo 0.000 0.000 0.000  1.90
2 Se 0.000 0.000 0.500  -0.08
3 Br 0.000 0.500 0.000  0.03
4 Br 0.500 0.000 0.000  0.03
5 Ge 0.500 0.500 0.500  0.43

Properties
Crystal system   tetragonal
E_form (uncorrected)   336.7 meV per atom
Symmetry   P4/mmm, No. 123
DOS at the Fermi energy   2.75 states/eV/f.u.
Total moment   3.18 μB/f.u.
V   134.4 Å³ per cell

No. 2
First-principles (GGA-PBE) data for Ga2Re2Au after structural relaxation, as listed in Alexandria via LeMat-Bulk.

abc: 7.360 7.360 3.019
angles: 90.00 90.00 90.00
Sites, in units of the cell vectors:
1 Au 0.500 0.500 0.000
2 Au 0.000 0.000 0.000
3 Re 0.616 0.116 0.000
4 Re 0.116 0.384 0.000
5 Re 0.384 0.884 0.000
6 Re 0.884 0.616 0.000
7 Ga 0.822 0.322 0.500
8 Ga 0.322 0.178 0.500
9 Ga 0.178 0.678 0.500
10 Ga 0.678 0.822 0.500

Properties
Crystal system   tetragonal
Calculated formation energy   0.280 eV/atom
Symmetry   P4/mbm, No. 127
DOS at the Fermi energy   2.88 states/eV/f.u.
Total moment   0.00 μB/f.u.
V   163.5 Å³ per cell

No. 3
First-principles (GGA-PBE) data for Ba2Cd2SnO6 after structural relaxation, as listed in Alexandria via LeMat-Bulk.

abc: 6.376 6.376 6.753
angles: 61.83 61.83 60.00
Sites, in units of the cell vectors:
1 O 0.205 0.774 0.246
2 O 0.226 0.795 0.754
3 O 0.774 0.774 0.246
4 O 0.774 0.205 0.246
5 O 0.226 0.226 0.754
6 O 0.795 0.226 0.754
7 Ba 0.208 0.208 0.377
8 Ba 0.792 0.792 0.623
9 Cd 0.408 0.408 0.776
10 Cd 0.592 0.592 0.224
11 Sn 0.000 0.000 0.000

Properties
Crystal system   trigonal
E_form (uncorrected)   -1646.4 meV per atom
Symmetry   R-3m, No. 166
Total moment   0.00 μB/f.u.
V   199.3 Å³ per cell

No. 4
First-principles (GGA-PBE) data for PbS5O after structural relaxation, as listed in Alexandria via LeMat-Bulk.

abc: 5.303 4.276 10.316
angles: 108.46 110.20 64.91
Sites, in units of the cell vectors:
1 S 0.216 0.149 0.125
2 S 0.269 0.634 0.760
3 S 0.909 0.976 0.125
4 S 0.492 0.127 0.760
5 S 0.131 0.632 0.263
6 O 0.749 0.249 0.497
7 Pb 0.765 0.765 0.529

Properties
Crystal system   monoclinic
E_form (uncorrected)   -28.5 meV per atom
Symmetry   C2, No. 5
DOS at the Fermi energy   3.28 states/eV/f.u.
Total moment   0.00 μB/f.u.
V   194.8 Å³ per cell

No. 5
First-principles (GGA-PBE) data for TlHg2P after structural relaxation, as listed in Alexandria via LeMat-Bulk.

abc: 5.927 6.087 3.287
angles: 75.32 88.05 118.53
Sites, in units of the cell vectors:
1 Hg 0.000 0.000 0.000
2 Hg 0.500 0.000 0.500
3 Tl 0.500 0.500 0.000
4 P 0.000 0.500 0.500

Properties
Crystal system   monoclinic
Calculated formation energy   0.384 eV/atom
Symmetry   C2/m, No. 12
DOS at the Fermi energy   1.98 states/eV/f.u.
Total moment   0.00 μB/f.u.
V   99.1 Å³ per cell

No. 6
First-principles (GGA-PBE) data for Mg2CuHRh after structural relaxation, as listed in Alexandria via LeMat-Bulk.

abc: 4.315 4.315 3.408
angles: 90.00 90.00 90.00
Sites, in units of the cell vectors:
1 H 0.000 0.000 0.000
2 Rh 0.500 0.500 0.500
3 Cu 0.000 0.000 0.500
4 Mg 0.500 0.000 0.000
5 Mg 0.000 0.500 0.000

Properties
Crystal system   tetragonal
Symmetry   P4/mmm, No. 123
DOS at the Fermi energy   0.71 states/eV/f.u.
DFT total energy   -3.83 eV per atom
Total moment   0.00 μB/f.u.
V   63.5 Å³ per cell

No. 7
First-principles (GGA-PBE) data for Zn2WCl after structural relaxation, as listed in Alexandria via LeMat-Bulk.

abc: 5.345 2.756 5.398
angles: 58.48 90.00 90.00
Sites, in units of the cell vectors:
1 W 0.500 0.750 0.750
2 Cl 0.500 0.250 0.250
3 Zn 0.000 0.263 0.507
4 Zn 0.000 0.237 0.993

Properties
Crystal system   monoclinic
E_form (uncorrected)   513.1 meV per atom
Symmetry   P2/m, No. 10
DOS at the Fermi energy   2.29 states/eV/f.u.
Total moment   0.00 μB/f.u.
V   67.8 Å³ per cell

No. 8
First-principles (GGA-PBE) data for HgPt2C after structural relaxation, as listed in Alexandria via LeMat-Bulk.

abc: 6.473 6.473 5.576
angles: 54.52 54.52 90.00
Sites, in units of the cell vectors:
1 C 0.500 0.500 0.000
2 C 0.250 0.750 0.500
3 Pt 0.375 0.495 0.750
4 Pt 0.245 0.625 0.250
5 Pt 0.875 0.755 0.750
6 Pt 0.505 0.125 0.250
7 Hg 0.000 0.000 0.000
8 Hg 0.750 0.250 0.500

Properties
Crystal system   tetragonal
Calculated formation energy   0.429 eV/atom
Symmetry   I-42d, No. 122
DOS at the Fermi energy   0.46 states/eV/f.u.
Total moment   0.00 μB/f.u.
V   133.4 Å³ per cell

Q: V of number 8 (HgPt2C)?
A: 133.4 Å³ per cell

Q: Which value of total moment does entry 3 give?
A: 0.00 μB/f.u.

What did the eighth record say?
First-principles (GGA-PBE) data for HgPt2C after structural relaxation, as listed in Alexandria via LeMat-Bulk.

abc: 6.473 6.473 5.576
angles: 54.52 54.52 90.00
Sites, in units of the cell vectors:
1 C 0.500 0.500 0.000
2 C 0.250 0.750 0.500
3 Pt 0.375 0.495 0.750
4 Pt 0.245 0.625 0.250
5 Pt 0.875 0.755 0.750
6 Pt 0.505 0.125 0.250
7 Hg 0.000 0.000 0.000
8 Hg 0.750 0.250 0.500

Properties
Crystal system   tetragonal
Calculated formation energy   0.429 eV/atom
Symmetry   I-42d, No. 122
DOS at the Fermi energy   0.46 states/eV/f.u.
Total moment   0.00 μB/f.u.
V   133.4 Å³ per cell

What did the first record say?
First-principles (GGA-PBE) data for GeMoSeBr2 after structural relaxation, as listed in Alexandria via LeMat-Bulk.

abc: 5.198 5.198 4.975
angles: 90.00 90.00 90.00
Each line ends with the local moment (μB).
Sites, in units of the cell vectors:
1 Mo 0.000 0.000 0.000  1.90
2 Se 0.000 0.000 0.500  -0.08
3 Br 0.000 0.500 0.000  0.03
4 Br 0.500 0.000 0.000  0.03
5 Ge 0.500 0.500 0.500  0.43

Properties
Crystal system   tetragonal
E_form (uncorrected)   336.7 meV per atom
Symmetry   P4/mmm, No. 123
DOS at the Fermi energy   2.75 states/eV/f.u.
Total moment   3.18 μB/f.u.
V   134.4 Å³ per cell